# LiZn2Cr | Alexandria | PBE | relaxed
data_LiZn2Cr
_space_group_name_H-M_alt 'P 1'
_space_group_IT_number 1
_space_group_name_Hall 'P 1'
_cell_length_a 2.5237
_cell_length_b 2.5237
_cell_length_c 8.5495
_cell_angle_alpha 90.00
_cell_angle_beta 90.00
_cell_angle_gamma 90.00
loop_
_atom_site_label
_atom_site_fract_x
_atom_site_fract_y
_atom_site_fract_z
_atom_site_occupancy
Zn1 0.0000 0.0000 0.9982 1
Li1 0.5000 0.5000 0.7510 1
Zn2 0.5000 0.5000 0.2595 1
Cr1 0.0000 0.0000 0.4913 1
# **Total DFT energy (no corrections)**: -13.3 eV per cell
# **Space group**: P4mm